{"formula": "TiNb2ZnPb4O12", "functional": "PBEsol", "state": "relaxed", "lattice_angstrom": [[-2.855, 1.229, -2.574], [-2.679, -2.485, 1.713], [-4.328, 11.873, 10.465]], "species": ["O", "O", "O", "O", "O", "O", "O", "O", "O", "O", "O", "O", "Pb", "Pb", "Pb", "Pb", "Nb", "Nb", "Zn", "Ti"], "frac_coords": [[0.994, 0.525, 0.371], [0.524, 0.013, 0.107], [0.013, 0.524, 0.107], [0.525, 0.013, 0.636], [0.531, 0.025, 0.871], [0.013, 0.525, 0.636], [0.536, 0.536, 0.754], [0.025, 0.531, 0.871], [0.527, 0.527, 0.231], [0.535, 0.535, 0.988], [0.527, 0.527, 0.511], [0.525, 0.994, 0.371], [0.955, 0.955, 0.755], [0.943, 0.943, 0.270], [0.945, 0.945, 0.472], [0.954, 0.954, 0.987], [0.483, 0.483, 0.117], [0.483, 0.483, 0.625], [0.481, 0.481, 0.371], [0.481, 0.481, 0.871]], "final_energy_ev_per_atom": -7.49, "spacegroup": "Amm2 (38)", "raw_formation_energy_mev_per_atom": -1963}